Entry P
Material: CoReHg2
Method: DFT, PBE
State: relaxed

Cell and atoms, written as CIF:
```
data_CoReHg2
_cell_length_a 3.118
_cell_length_b 4.685
_cell_length_c 9.362
_cell_angle_alpha 90.00
_cell_angle_beta 90.00
_cell_angle_gamma 90.00
_space_group_name_H-M_alt 'C m m m'
_space_group_IT_number 65
_space_group_name_Hall '-C 2 2'
loop_
_atom_site_label
_atom_site_type_symbol
_atom_site_fract_x
_atom_site_fract_y
_atom_site_fract_z
Co1 Co 0.000 0.000 0.000
Re1 Re 0.000 0.000 0.500
Hg1 Hg 0.000 0.500 0.236
```

Entry Q
Material: CoReHg2
Method: DFT, PBE
State: relaxed

Cell and atoms, written as CIF:
```
data_CoReHg2
_cell_length_a 2.791
_cell_length_b 4.517
_cell_length_c 5.542
_cell_angle_alpha 90.00
_cell_angle_beta 102.79
_cell_angle_gamma 90.00
_space_group_name_H-M_alt 'P 1 2/m 1'
_space_group_IT_number 10
loop_
_space_group_symop_operation_xyz
'x,y,z'
'-x,-y,-z'
'-x,y,-z'
'x,-y,z'
loop_
_atom_site_label
_atom_site_type_symbol
_atom_site_fract_x
_atom_site_fract_y
_atom_site_fract_z
Co1 Co 0.000 0.000 0.000
Re1 Re 0.500 0.000 0.500
Hg1 Hg 0.177 0.500 0.757
```

Which one sits at the top of the stability order? entry P does.

Entry P
Material: CoReHg2
Method: DFT, PBE
State: relaxed

Cell and atoms, written as CIF:
```
data_CoReHg2
_cell_length_a 6.476
_cell_length_b 6.476
_cell_length_c 6.476
_cell_angle_alpha 90.00
_cell_angle_beta 90.00
_cell_angle_gamma 90.00
_space_group_name_H-M_alt 'F m -3 m'
_space_group_IT_number 225
_space_group_name_Hall '-F 4 2 3'
loop_
_atom_site_label
_atom_site_type_symbol
_atom_site_fract_x
_atom_site_fract_y
_atom_site_fract_z
Co1 Co 0.000 0.000 0.000
Re1 Re 0.000 0.000 0.500
Hg1 Hg 0.250 0.250 0.250
```

Entry Q
Material: CoReHg2
Method: DFT, PBE
State: relaxed

Cell and atoms, written as CIF:
```
data_CoReHg2
_cell_length_a 2.819
_cell_length_b 2.819
_cell_length_c 8.478
_cell_angle_alpha 90.00
_cell_angle_beta 90.00
_cell_angle_gamma 90.00
_space_group_name_H-M_alt 'P 4/m m m'
_space_group_IT_number 123
_space_group_name_Hall '-P 4 2'
loop_
_atom_site_label
_atom_site_type_symbol
_atom_site_fract_x
_atom_site_fract_y
_atom_site_fract_z
Co1 Co 0.000 0.000 0.000
Re1 Re 0.000 0.000 0.500
Hg1 Hg 0.500 0.500 0.233
```

Entry R
Material: CoReHg2
Method: DFT, PBE
State: relaxed

Cell and atoms, written as CIF:
```
data_CoReHg2
_cell_length_a 3.885
_cell_length_b 3.885
_cell_length_c 19.690
_cell_angle_alpha 90.00
_cell_angle_beta 90.00
_cell_angle_gamma 90.00
_space_group_name_H-M_alt 'I -4 2 d'
_space_group_IT_number 122
_space_group_name_Hall 'I -4 2bw'
loop_
_atom_site_label
_atom_site_type_symbol
_atom_site_fract_x
_atom_site_fract_y
_atom_site_fract_z
Co1 Co 0.000 0.000 0.000
Re1 Re 0.000 0.000 0.500
Hg1 Hg 0.248 0.250 0.125
```

Entry S
Material: CoReHg2
Method: DFT, PBE
State: relaxed

Cell and atoms, written as CIF:
```
data_CoReHg2
_cell_length_a 4.089
_cell_length_b 4.089
_cell_length_c 8.180
_cell_angle_alpha 90.00
_cell_angle_beta 90.00
_cell_angle_gamma 90.00
_space_group_name_H-M_alt 'I 4/m m m'
_space_group_IT_number 139
_space_group_name_Hall '-I 4 2'
loop_
_atom_site_label
_atom_site_type_symbol
_atom_site_fract_x
_atom_site_fract_y
_atom_site_fract_z
Co1 Co 0.000 0.000 0.000
Re1 Re 0.000 0.000 0.500
Hg1 Hg 0.000 0.500 0.250
```

Which one sits at the top of the stability order? entry Q does.

Entry P
Material: CoReHg2
Method: DFT, PBE
State: relaxed

Cell and atoms, written as CIF:
```
data_CoReHg2
_cell_length_a 4.101
_cell_length_b 4.101
_cell_length_c 8.069
_cell_angle_alpha 90.00
_cell_angle_beta 90.00
_cell_angle_gamma 90.00
_space_group_name_H-M_alt 'I -4 m 2'
_space_group_IT_number 119
_space_group_name_Hall 'I -4 -2'
loop_
_atom_site_label
_atom_site_type_symbol
_atom_site_fract_x
_atom_site_fract_y
_atom_site_fract_z
Co1 Co 0.000 0.000 0.000
Re1 Re 0.000 0.500 0.250
Hg1 Hg 0.000 0.000 0.500
Hg2 Hg 0.000 0.500 0.750
```

Entry Q
Material: CoReHg2
Method: DFT, PBE
State: relaxed

Cell and atoms, written as CIF:
```
data_CoReHg2
_cell_length_a 4.047
_cell_length_b 4.047
_cell_length_c 4.145
_cell_angle_alpha 90.00
_cell_angle_beta 90.00
_cell_angle_gamma 90.00
_space_group_name_H-M_alt 'P 4/m m m'
_space_group_IT_number 123
_space_group_name_Hall '-P 4 2'
loop_
_atom_site_label
_atom_site_type_symbol
_atom_site_fract_x
_atom_site_fract_y
_atom_site_fract_z
Co1 Co 0.000 0.000 0.000
Re1 Re 0.500 0.500 0.000
Hg1 Hg 0.000 0.500 0.500
```

Which one sits at the top of the stability order? entry Q does.

Entry P
Material: CoReHg2
Method: DFT, PBE
State: relaxed

Cell and atoms, written as CIF:
```
data_CoReHg2
_cell_length_a 10.796
_cell_length_b 2.798
_cell_length_c 4.942
_cell_angle_alpha 90.00
_cell_angle_beta 112.01
_cell_angle_gamma 90.00
_space_group_name_H-M_alt 'C 1 m 1'
_space_group_IT_number 8
loop_
_space_group_symop_operation_xyz
'x,y,z'
'x,-y,z'
'x+1/2,y+1/2,z'
'x+1/2,-y+1/2,z'
loop_
_atom_site_label
_atom_site_type_symbol
_atom_site_fract_x
_atom_site_fract_y
_atom_site_fract_z
Co1 Co 0.000 0.000 0.000
Re1 Re 0.191 0.500 0.295
Hg1 Hg 0.240 0.000 0.832
Hg2 Hg 0.455 0.000 0.467
```

Entry Q
Material: CoReHg2
Method: DFT, PBE
State: relaxed

Cell and atoms, written as CIF:
```
data_CoReHg2
_cell_length_a 9.505
_cell_length_b 2.858
_cell_length_c 5.100
_cell_angle_alpha 90.00
_cell_angle_beta 101.91
_cell_angle_gamma 90.00
_space_group_name_H-M_alt 'C 1 2/m 1'
_space_group_IT_number 12
loop_
_space_group_symop_operation_xyz
'x,y,z'
'-x,-y,-z'
'-x,y,-z'
'x,-y,z'
'x+1/2,y+1/2,z'
'-x+1/2,-y+1/2,-z'
'-x+1/2,y+1/2,-z'
'x+1/2,-y+1/2,z'
loop_
_atom_site_label
_atom_site_type_symbol
_atom_site_fract_x
_atom_site_fract_y
_atom_site_fract_z
Co1 Co 0.000 0.000 0.000
Re1 Re 0.000 0.500 0.500
Hg1 Hg 0.243 0.500 0.244
```

Which one sits at the top of the stability order? entry P does.

Entry P
Material: CoReHg2
Method: DFT, PBE
State: relaxed

Cell and atoms, written as CIF:
```
data_CoReHg2
_cell_length_a 2.927
_cell_length_b 4.846
_cell_length_c 9.519
_cell_angle_alpha 90.00
_cell_angle_beta 90.00
_cell_angle_gamma 90.00
_space_group_name_H-M_alt 'I m m m'
_space_group_IT_number 71
_space_group_name_Hall '-I 2 2'
loop_
_atom_site_label
_atom_site_type_symbol
_atom_site_fract_x
_atom_site_fract_y
_atom_site_fract_z
Co1 Co 0.000 0.000 0.000
Re1 Re 0.000 0.000 0.500
Hg1 Hg 0.000 0.500 0.267
```

Entry Q
Material: CoReHg2
Method: DFT, PBE
State: relaxed

Cell and atoms, written as CIF:
```
data_CoReHg2
_cell_length_a 6.491
_cell_length_b 6.491
_cell_length_c 6.491
_cell_angle_alpha 90.00
_cell_angle_beta 90.00
_cell_angle_gamma 90.00
_space_group_name_H-M_alt 'F -4 3 m'
_space_group_IT_number 216
_space_group_name_Hall 'F -4 2 3'
loop_
_atom_site_label
_atom_site_type_symbol
_atom_site_fract_x
_atom_site_fract_y
_atom_site_fract_z
Co1 Co 0.000 0.000 0.000
Re1 Re 0.250 0.250 0.250
Hg1 Hg 0.000 0.000 0.500
Hg2 Hg 0.250 0.250 0.750
```

Which one sits at the top of the stability order? entry P does.

Entry P
Material: CoHgRh
Method: DFT, PBE
State: relaxed

Cell and atoms, written as CIF:
```
data_CoHgRh
_cell_length_a 2.897
_cell_length_b 2.897
_cell_length_c 11.057
_cell_angle_alpha 90.00
_cell_angle_beta 90.00
_cell_angle_gamma 90.00
_space_group_name_H-M_alt 'I 4 m m'
_space_group_IT_number 107
_space_group_name_Hall 'I 4 -2'
loop_
_atom_site_label
_atom_site_type_symbol
_atom_site_fract_x
_atom_site_fract_y
_atom_site_fract_z
Co1 Co 0.000 0.000 0.000
Hg1 Hg 0.000 0.000 0.677
Rh1 Rh 0.000 0.000 0.366
```

Entry Q
Material: CoHgRh
Method: DFT, PBE
State: relaxed

Cell and atoms, written as CIF:
```
data_CoHgRh
_cell_length_a 6.084
_cell_length_b 6.084
_cell_length_c 6.084
_cell_angle_alpha 90.00
_cell_angle_beta 90.00
_cell_angle_gamma 90.00
_space_group_name_H-M_alt 'F -4 3 m'
_space_group_IT_number 216
_space_group_name_Hall 'F -4 2 3'
loop_
_atom_site_label
_atom_site_type_symbol
_atom_site_fract_x
_atom_site_fract_y
_atom_site_fract_z
Co1 Co 0.000 0.000 0.000
Hg1 Hg 0.250 0.250 0.250
Rh1 Rh 0.000 0.000 0.500
```

Which one sits at the top of the stability order? entry P does.

Entry P
Material: CoHgRh
Method: DFT, PBE
State: relaxed

Cell and atoms, written as CIF:
```
data_CoHgRh
_cell_length_a 4.3221
_cell_length_b 4.3221
_cell_length_c 2.9172
_cell_angle_alpha 90.00
_cell_angle_beta 90.00
_cell_angle_gamma 120.00
_space_group_name_H-M_alt 'P 3 m 1'
_space_group_IT_number 156
loop_
_space_group_symop_operation_xyz
'x,y,z'
'-y,x-y,z'
'-x+y,-x,z'
'-y,-x,z'
'-x+y,y,z'
'x,x-y,z'
loop_
_atom_site_label
_atom_site_type_symbol
_atom_site_fract_x
_atom_site_fract_y
_atom_site_fract_z
Co1 Co 0.0000 0.0000 0.0000
Hg1 Hg 0.3333 0.6667 0.4973
Rh1 Rh 0.6667 0.3333 0.9958
```

Entry Q
Material: CoHgRh
Method: DFT, PBE
State: relaxed

Cell and atoms, written as CIF:
```
data_CoHgRh
_cell_length_a 5.927
_cell_length_b 5.927
_cell_length_c 5.927
_cell_angle_alpha 90.00
_cell_angle_beta 90.00
_cell_angle_gamma 90.00
_space_group_name_H-M_alt 'F -4 3 m'
_space_group_IT_number 216
_space_group_name_Hall 'F -4 2 3'
loop_
_atom_site_label
_atom_site_type_symbol
_atom_site_fract_x
_atom_site_fract_y
_atom_site_fract_z
Co1 Co 0.000 0.000 0.000
Hg1 Hg 0.250 0.250 0.250
Rh1 Rh 0.250 0.250 0.750
```

Which one sits at the top of the stability order? entry P does.

Entry P
Material: CoHg2Rh
Method: DFT, PBE
State: relaxed

Cell and atoms, written as CIF:
```
data_CoHg2Rh
_cell_length_a 6.441
_cell_length_b 6.441
_cell_length_c 6.441
_cell_angle_alpha 90.00
_cell_angle_beta 90.00
_cell_angle_gamma 90.00
_space_group_name_H-M_alt 'F m -3 m'
_space_group_IT_number 225
_space_group_name_Hall '-F 4 2 3'
loop_
_atom_site_label
_atom_site_type_symbol
_atom_site_fract_x
_atom_site_fract_y
_atom_site_fract_z
Co1 Co 0.000 0.000 0.000
Hg1 Hg 0.250 0.250 0.250
Rh1 Rh 0.000 0.000 0.500
```

Entry Q
Material: CoHg2Rh
Method: DFT, PBE
State: relaxed

Cell and atoms, written as CIF:
```
data_CoHg2Rh
_cell_length_a 3.0021
_cell_length_b 3.0021
_cell_length_c 26.1950
_cell_angle_alpha 90.00
_cell_angle_beta 90.00
_cell_angle_gamma 120.00
_space_group_name_H-M_alt 'R -3 m'
_space_group_IT_number 166
_space_group_name_Hall '-R 3 2"'
loop_
_atom_site_label
_atom_site_type_symbol
_atom_site_fract_x
_atom_site_fract_y
_atom_site_fract_z
Co1 Co 0.0000 0.0000 0.0000
Hg1 Hg 0.0000 0.0000 0.2524
Rh1 Rh 0.0000 0.0000 0.5000
```

Which one sits at the top of the stability order? entry P does.